Density functional theory data (PBE-GGA) for Tb2PuReN4 after structural relaxation.

a b c (Å): 6.0825 6.0825 11.7418
angles (deg): 90.00 90.00 147.44
Sites, in units of the cell vectors:
1 Tb 0.1313 0.8687 0.5392
2 Tb 0.1313 0.8687 0.9608
3 Tb 0.8687 0.1313 0.0392
4 Tb 0.8687 0.1313 0.4608
5 Pu 0.3827 0.6173 0.7500
6 Pu 0.6173 0.3827 0.2500
7 Re 0.3558 0.6442 0.2500
8 Re 0.6442 0.3558 0.7500
9 N 0.0538 0.9462 0.7500
10 N 0.2335 0.7665 0.1310
11 N 0.2335 0.7665 0.3690
12 N 0.5000 0.5000 0.0000
13 N 0.5000 0.5000 0.5000
14 N 0.7665 0.2335 0.6310
15 N 0.7665 0.2335 0.8690
16 N 0.9462 0.0538 0.2500

Results
D(E_F): 14.27 states/eV/cell
theoretical density: 11.4 Mg/m³
crystal system: orthorhombic


Density functional theory data (PBE-GGA) for PuTh2ReN5 after structural relaxation.

a b c (Å): 7.5562 7.5562 7.5562
angles (deg): 126.66 126.66 78.81
Sites, in units of the cell vectors:
1 Pu 0.2500 0.2500 0.0000
2 Pu 0.7500 0.7500 0.0000
3 Th 0.1767 0.6767 0.8533
4 Th 0.3233 0.1767 0.5000
5 Th 0.6767 0.8233 0.5000
6 Th 0.8233 0.3233 0.1467
7 Re 0.2500 0.7500 0.5000
8 Re 0.7500 0.2500 0.5000
9 N 0.0000 0.0000 0.0000
10 N 0.0062 0.2098 0.5000
11 N 0.2098 0.7098 0.2036
12 N 0.2902 0.4938 0.5000
13 N 0.4938 0.9938 0.2036
14 N 0.5000 0.5000 0.0000
15 N 0.5062 0.0062 0.7964
16 N 0.7098 0.5062 0.5000
17 N 0.7902 0.2902 0.7964
18 N 0.9938 0.7902 0.5000

Results
D(E_F): 17.83 states/eV/cell
theoretical density: 11.9 Mg/m³
crystal system: tetragonal


Density functional theory data (PBE-GGA) for Y2PuReN4 after structural relaxation.

a b c (Å): 6.0600 6.0600 11.7279
angles (deg): 90.00 90.00 147.46
Sites, in units of the cell vectors:
1 Y 0.1312 0.8688 0.5393
2 Y 0.1312 0.8688 0.9607
3 Y 0.8688 0.1312 0.0393
4 Y 0.8688 0.1312 0.4607
5 Pu 0.3843 0.6157 0.7500
6 Pu 0.6157 0.3843 0.2500
7 Re 0.3555 0.6445 0.2500
8 Re 0.6445 0.3555 0.7500
9 N 0.0506 0.9494 0.7500
10 N 0.2346 0.7654 0.1298
11 N 0.2346 0.7654 0.3702
12 N 0.5000 0.5000 0.0000
13 N 0.5000 0.5000 0.5000
14 N 0.7654 0.2346 0.6298
15 N 0.7654 0.2346 0.8702
16 N 0.9494 0.0506 0.2500

Results
D(E_F): 13.91 states/eV/cell
theoretical density: 9.5 Mg/m³
crystal system: orthorhombic


Density functional theory data (PBE-GGA) for Pu6Rh3N after structural relaxation.

a b c (Å): 6.4669 6.4669 5.1466
angles (deg): 100.25 100.25 111.41
Sites, in units of the cell vectors:
1 Pu 0.1649 0.8351 0.0000
2 Pu 0.1676 0.4833 0.7084
3 Pu 0.4833 0.1676 0.7084
4 Pu 0.5167 0.8324 0.2916
5 Pu 0.8324 0.5167 0.2916
6 Pu 0.8351 0.1649 0.0000
7 Rh 0.0000 0.0000 0.5000
8 Rh 0.2971 0.2971 0.2352
9 Rh 0.7029 0.7029 0.7648
10 N 0.5000 0.5000 0.0000

Results
D(E_F): 31.01 states/eV/cell
theoretical density: 15.6 Mg/m³
crystal system: monoclinic


ΔE_f (raw) list, top to bottom, in eV/f.u.: -7.4, -9.2, -7.5, -2.9